[1]
Here is CsLiBr3 at its PBEsol-relaxed geometry from the Alexandria database. Energies are from meta-GGA SCAN.

```
CsLiBr3
1.0
5.271 0.000 0.000
0.000 5.271 0.000
0.000 0.000 5.271
Br Cs Li
3 1 1
direct
0.000 0.500 0.000
0.000 0.000 0.500
0.500 0.000 0.000
0.500 0.500 0.500
0.000 0.000 0.000
```

Values from the calculation:
The value obtained for the final energy is -1.548 Ry/atom. The size of the total moment is 1.05 μB per cell. The density of states at the Fermi level comes out at 6.0 states/eV/f.u. For the formation energy (no corrections), the calculation gives -1.352 eV/atom.


[2]
Here is Cs3Li2Br5 at its PBEsol-relaxed geometry from the Alexandria database. Energies are from meta-GGA SCAN.

```
Cs3Li2Br5
1.0
-2.315 1.481 -3.359
-0.837 -5.575 -1.878
-8.937 1.296 9.534
Br Li Cs
5 2 3
direct
0.745 0.528 0.000
0.863 0.150 0.235
0.628 0.915 0.765
0.511 0.338 0.531
0.980 0.807 0.469
0.529 0.785 0.569
0.961 0.216 0.431
0.366 0.646 0.240
0.125 0.406 0.760
0.245 0.027 0.000
```

Values from the calculation:
The value obtained for the final energy is -1.723 Ry/atom. The size of the total moment is 0.00 μB per cell. The density of states at the Fermi level comes out at 0.0 states/eV/f.u. For the formation energy (no corrections), the calculation gives -1.889 eV/atom.


[3]
Here is CsLi2Br3 at its PBEsol-relaxed geometry from the Alexandria database. Energies are from meta-GGA SCAN.

```
CsLi2Br3
1.0
-0.984 -0.672 -4.449
-1.625 -5.163 1.139
-4.843 5.080 2.688
Br Li Cs
3 2 1
direct
0.218 0.218 0.436
0.000 0.500 0.000
0.782 0.782 0.564
0.192 0.692 0.384
0.808 0.308 0.616
0.500 0.000 0.000
```

Values from the calculation:
The value obtained for the final energy is -1.370 Ry/atom. The size of the total moment is 0.00 μB per cell. The density of states at the Fermi level comes out at 0.0 states/eV/f.u. For the formation energy (no corrections), the calculation gives -1.806 eV/atom.


Which value of size of the total moment does entry 2 give?
0.00 μB per cell


The lowest final energy belongs to which entry?
Cs3Li2Br5


Number 1 is which compound?
CsLiBr3